(1)
This record from Alexandria describes a relaxed structure of SrTiAs2Br. The functional is PBE.

Computed properties:
total moment: 1.20 μB per formula unit
density of states at the Fermi level: 5.06 states/eV per cell
distance to the lowest polymorph of the same formula: 34.46 kcal/mol of atoms
E_form (uncorrected): 3.29 eV/f.u.
V: 176.6 Å³/f.u.

Cell: 5.609 5.609 5.613 Å, 90.00 90.00 90.00°
Sites, in units of the cell vectors:
Sr: 0.000 0.000 0.000
Ti: 0.500 0.500 0.500
As: 0.000 0.500 0.000
As: 0.500 0.000 0.000
Br: 0.000 0.000 0.500



(2)
This record from Alexandria describes a relaxed structure of MoIr2Os. The functional is PBE.

Computed properties:
formation energy from the elements: -0.024 eV per atom
total moment: 0.00 μB per formula unit
density of states at the Fermi level: 14.46 states/eV per cell
distance to the lowest polymorph of the same formula: 4.71 kcal/mol of atoms
V: 59.0 Å³/f.u.

Cell: 2.758 2.758 26.876 Å, 90.00 90.00 120.00°
Sites, in units of the cell vectors:
Mo: 0.000 0.000 0.000
Mo: 0.333 0.667 0.667
Mo: 0.667 0.333 0.333
Ir: 0.000 0.000 0.249
Ir: 0.000 0.000 0.751
Ir: 0.333 0.667 0.418
Ir: 0.333 0.667 0.916
Ir: 0.667 0.333 0.084
Ir: 0.667 0.333 0.582
Os: 0.000 0.000 0.500
Os: 0.333 0.667 0.167
Os: 0.667 0.333 0.833



(3)
This record from Alexandria describes a relaxed structure of PmNdHg4. The functional is PBE.

Computed properties:
formation energy from the elements: -0.274 eV per atom
total moment: 0.00 μB per formula unit
density of states at the Fermi level: 3.91 states/eV per cell
distance to the lowest polymorph of the same formula: 2.09 kcal/mol of atoms
V: 154.6 Å³/f.u.

Cell: 6.024 6.024 6.024 Å, 60.00 60.00 60.00°
Sites, in units of the cell vectors:
Pm: 0.000 0.000 0.000
Nd: 0.750 0.750 0.750
Hg: 0.375 0.375 0.375
Hg: 0.375 0.375 0.875
Hg: 0.375 0.875 0.375
Hg: 0.875 0.375 0.375



(4)
This record from Alexandria describes a relaxed structure of TmNpTcIr. The functional is PBE.

Computed properties:
formation energy from the elements: -0.276 eV per atom
total moment: 2.81 μB per formula unit
density of states at the Fermi level: 18.98 states/eV per cell
V: 77.3 Å³/f.u.

Cell: 6.761 6.761 6.761 Å, 90.00 90.00 90.00°
Sites, in units of the cell vectors:
Tm: 0.000 0.000 0.000
Tm: 0.000 0.500 0.500
Tm: 0.500 0.000 0.500
Tm: 0.500 0.500 0.000
Np: 0.000 0.000 0.500
Np: 0.000 0.500 0.000
Np: 0.500 0.000 0.000
Np: 0.500 0.500 0.500
Tc: 0.250 0.250 0.250
Tc: 0.250 0.750 0.750
Tc: 0.750 0.250 0.750
Tc: 0.750 0.750 0.250
Ir: 0.250 0.250 0.750
Ir: 0.250 0.750 0.250
Ir: 0.750 0.250 0.250
Ir: 0.750 0.750 0.750